No. 1
## TaBi3Mo (PBE)

Data for an optimized crystal structure of TaBi3Mo.

## Properties
As for the formation energy: 1.29 eV per atom.

Unit cell a=5.482 b=5.482 c=5.482 alpha=90.00 beta=90.00 gamma=90.00
Positions (direct):
Ta 0.000 0.000 0.000
Bi 0.000 0.000 0.500
Bi 0.000 0.500 0.000
Bi 0.500 0.000 0.000
Mo 0.500 0.500 0.500

No. 2
## TaBi3Mo (PBE)

Data for an optimized crystal structure of TaBi3Mo.

## Properties
As for the formation energy: 1.45 eV per atom.

Unit cell a=5.350 b=5.350 c=5.350 alpha=90.00 beta=90.00 gamma=90.00
Positions (direct):
Ta 0.000 0.000 0.000
Bi 0.000 0.500 0.500
Bi 0.500 0.000 0.500
Bi 0.500 0.500 0.000
Mo 0.500 0.500 0.500

No. 3
## TaBiMo3 (PBE)

Data for an optimized crystal structure of TaBiMo3.

## Properties
As for the formation energy: 1.66 eV per atom.

Unit cell a=4.860 b=4.860 c=4.860 alpha=90.00 beta=90.00 gamma=90.00
Positions (direct):
Ta 0.000 0.000 0.000
Bi 0.500 0.500 0.500
Mo 0.000 0.000 0.500
Mo 0.000 0.500 0.000
Mo 0.500 0.000 0.000

No. 4
## TaTcBiMo2 (PBE)

Data for an optimized crystal structure of TaTcBiMo2.

## Properties
As for the formation energy: 1.71 eV per atom.

Unit cell a=4.711 b=4.711 c=5.020 alpha=90.00 beta=90.00 gamma=90.00
Positions (direct):
Ta 0.000 0.000 0.000
Tc 0.500 0.500 0.500
Bi 0.500 0.500 0.000
Mo 0.000 0.500 0.500
Mo 0.500 0.000 0.500

No. 5
## Ta2BiTeMo (PBE)

Data for an optimized crystal structure of Ta2BiTeMo.

## Properties
The value obtained for the formation energy from raw total energies is 2.60 eV per atom.

Unit cell a=5.213 b=5.213 c=5.752 alpha=90.00 beta=90.00 gamma=90.00
Positions (direct):
Ta 0.000 0.500 0.000
Ta 0.500 0.000 0.000
Bi 0.000 0.000 0.000
Te 0.000 0.000 0.500
Mo 0.500 0.500 0.500

No. 6
## Ta2BiTeMo (PBE)

Data for an optimized crystal structure of Ta2BiTeMo.

## Properties
The value obtained for the formation energy from raw total energies is 1.64 eV per atom.

Unit cell a=5.069 b=5.069 c=4.948 alpha=90.00 beta=90.00 gamma=90.00
Positions (direct):
Ta 0.000 0.500 0.000
Ta 0.500 0.000 0.000
Bi 0.000 0.000 0.500
Te 0.500 0.500 0.000
Mo 0.500 0.500 0.500

Number 1: M_tot 0.88 μB per atom. Number 2: M_tot 0.84 μB per atom. Number 3: M_tot 0.40 μB per atom. Number 4: M_tot 0.00 μB per atom. Number 5: M_tot 0.36 μB per atom. Number 6: M_tot 0.14 μB per atom.